1.
# Cr4CuHg

Crystalline Cr4CuHg at its relaxed geometry (PBE, Alexandria).

Computed properties:
* spin magnetization: 0.00 μB/f.u.
* crystal system: cubic
* formation energy: 0.54 eV per atom
* mass density: 9.70 Mg/m³

Cell and atoms, written as POSCAR:
```
Cr4CuHg
1.0
0.0281 -4.6581 1.3618
-2.0537 -1.3138 4.1964
-4.1250 -2.5568 -0.0128
Cu Cr Hg
1 4 1
Cartesian
-4.6130 -6.3965 4.1591
-4.3273 -4.4698 2.0957
-3.3250 -3.8683 4.1325
-2.3313 -3.2326 2.1019
-2.3177 -5.4866 2.7608
0.0000 0.0000 0.0000
```



2.
# CrCu2Hg

Crystalline CrCu2Hg at its relaxed geometry (PBE, Alexandria).

Computed properties:
* spin magnetization: 3.66 μB/f.u.
* crystal system: monoclinic
* formation energy: 0.36 eV per atom
* mass density: 10.18 Mg/m³

Cell and atoms, written as POSCAR:
```
CrCu2Hg
1.0
4.7008 -0.0294 0.0560
3.7088 2.8884 0.0560
1.0259 0.3488 4.5373
Hg Cu Cr
1 2 1
Cartesian
7.0766 2.4059 3.4870
8.3855 2.8509 0.2165
4.7418 1.6121 2.2201
2.3589 0.8020 1.1623
```



3.
# Cr2CuHg

Crystalline Cr2CuHg at its relaxed geometry (PBE, Alexandria).

Computed properties:
* spin magnetization: 0.00 μB/f.u.
* crystal system: orthorhombic
* formation energy: 0.51 eV per atom
* mass density: 10.43 Mg/m³

Cell and atoms, written as POSCAR:
```
Cr2CuHg
1.0
4.0387 0.0000 0.0000
0.0000 2.8015 0.0152
0.0000 2.7724 5.1962
Cr Cu Hg
2 1 1
Cartesian
0.0000 2.7893 2.2723
0.0000 2.7991 0.3487
2.0193 1.3935 1.3029
2.0193 4.1804 3.9086
```



4.
# Cr2CuHg

Crystalline Cr2CuHg at its relaxed geometry (PBE, Alexandria).

Computed properties:
* spin magnetization: 0.00 μB/f.u.
* crystal system: orthorhombic
* formation energy: 0.45 eV per atom
* mass density: 10.40 Mg/m³

Cell and atoms, written as POSCAR:
```
Cr2CuHg
1.0
-0.6783 0.2886 -2.6208
1.3739 -2.2987 0.4904
-7.4170 -4.1203 1.4660
Cr Cu Hg
2 1 1
Cartesian
-1.3896 -1.9702 -0.7218
-0.3159 -0.1755 0.0624
-3.4951 -1.9416 0.6908
-5.2293 -4.1032 0.0371
```